(P)
{"formula": "Li3ScBe", "functional": "PBE", "state": "optimized geometry", "lattice": [[4.461, 0.000, 0.000], [0.000, 4.461, 0.000], [0.000, 0.000, 4.461]], "species": ["Li", "Li", "Li", "Sc", "Be"], "fractional_positions": [[0.000, 0.000, 0.500], [0.000, 0.500, 0.000], [0.500, 0.000, 0.000], [0.500, 0.500, 0.500], [0.000, 0.000, 0.000]], "density_g_cm3": 1.399, "crystal_system": "cubic"}


(Q)
{"formula": "Li3ScBe", "functional": "PBE", "state": "optimized geometry", "lattice": [[5.077, 0.000, 0.000], [0.000, 5.077, 0.000], [0.000, 0.000, 5.077]], "species": ["Li", "Li", "Li", "Sc", "Be"], "fractional_positions": [[0.000, 0.000, 0.500], [0.000, 0.500, 0.000], [0.500, 0.000, 0.000], [0.000, 0.000, 0.000], [0.500, 0.500, 0.500]], "density_g_cm3": 0.949, "crystal_system": "cubic"}


Most stable: (P). Least stable: (Q).


(P)
{"formula": "LiScBe", "functional": "PBE", "state": "optimized geometry", "lattice": [[0.000, 3.108, 3.108], [3.108, 0.000, 3.108], [3.108, 3.108, 0.000]], "species": ["Li", "Sc", "Be"], "fractional_positions": [[0.000, 0.000, 0.000], [0.250, 0.250, 0.250], [0.500, 0.500, 0.500]], "density_g_cm3": 1.685, "crystal_system": "cubic"}


(Q)
{"formula": "LiScBe", "functional": "PBE", "state": "optimized geometry", "lattice": [[-1.567, 1.567, 5.120], [1.567, -1.567, 5.120], [1.567, 1.567, -5.120]], "species": ["Li", "Sc", "Be"], "fractional_positions": [[0.000, 0.000, 0.000], [0.722, 0.722, 0.000], [0.373, 0.373, 0.000]], "density_g_cm3": 2.011, "crystal_system": "tetragonal"}


(R)
{"formula": "LiScBe", "functional": "PBE", "state": "optimized geometry", "lattice": [[4.441, 0.000, 0.000], [-2.220, 3.846, 0.000], [0.000, 0.000, 2.786]], "species": ["Li", "Sc", "Be"], "fractional_positions": [[0.000, 0.000, 0.000], [0.667, 0.333, 0.494], [0.333, 0.667, 0.991]], "density_g_cm3": 2.126, "crystal_system": "trigonal"}


(S)
{"formula": "LiScBe", "functional": "PBE", "state": "optimized geometry", "lattice": [[0.000, 3.049, 3.049], [3.049, 0.000, 3.049], [3.049, 3.049, 0.000]], "species": ["Li", "Sc", "Be"], "fractional_positions": [[0.000, 0.000, 0.000], [0.500, 0.500, 0.500], [0.750, 0.750, 0.750]], "density_g_cm3": 1.784, "crystal_system": "cubic"}


Most stable: (Q). Least stable: (P).


(P)
{"formula": "LiScBe3", "functional": "PBE", "state": "optimized geometry", "lattice": [[3.964, 0.000, 0.000], [0.000, 3.964, 0.000], [0.000, 0.000, 3.964]], "species": ["Li", "Sc", "Be", "Be", "Be"], "fractional_positions": [[0.000, 0.000, 0.000], [0.500, 0.500, 0.500], [0.000, 0.000, 0.500], [0.000, 0.500, 0.000], [0.500, 0.000, 0.000]], "density_g_cm3": 2.105, "crystal_system": "cubic"}


(Q)
{"formula": "LiScBe3", "functional": "PBE", "state": "optimized geometry", "lattice": [[4.930, 0.000, 0.000], [0.000, 4.930, 0.000], [0.000, 0.000, 4.930]], "species": ["Li", "Sc", "Be", "Be", "Be"], "fractional_positions": [[0.000, 0.000, 0.000], [0.500, 0.500, 0.500], [0.000, 0.500, 0.500], [0.500, 0.000, 0.500], [0.500, 0.500, 0.000]], "density_g_cm3": 1.094, "crystal_system": "cubic"}


Most stable: (P). Least stable: (Q).


(P)
{"formula": "Li2BeSe", "functional": "PBE", "state": "optimized geometry", "lattice": [[1.501, 0.867, 8.380], [-1.501, 0.867, 8.380], [0.000, -1.733, 8.380]], "species": ["Li", "Li", "Be", "Se"], "fractional_positions": [[0.244, 0.244, 0.244], [0.756, 0.756, 0.756], [0.000, 0.000, 0.000], [0.500, 0.500, 0.500]], "density_g_cm3": 2.586, "crystal_system": "trigonal"}


(Q)
{"formula": "Li2BeSe", "functional": "PBE", "state": "optimized geometry", "lattice": [[2.590, -2.572, 0.000], [2.590, 2.572, 0.000], [-2.539, 0.000, 4.104]], "species": ["Li", "Li", "Be", "Se"], "fractional_positions": [[0.250, 0.750, 0.000], [0.750, 0.250, 0.000], [0.000, 0.000, 0.500], [0.500, 0.500, 0.500]], "density_g_cm3": 3.093, "crystal_system": "monoclinic"}


Most stable: (Q). Least stable: (P).